Record 1
## SrEr2Zr (PBE)

Data for a geometry-optimized SrEr2Zr structure.

Results
**Total magnetic moment**: 0.000 μB/atom
**Formation energy**: 270.9 meV per atom

```
data_SrEr2Zr
_chemical_formula_sum 'Sr3 Er6 Zr3'
_symmetry_space_group_name_H-M 'R -3 m'
_symmetry_Int_Tables_number 166
_symmetry_space_group_name_Hall '-R 3 2"'
_cell_length_a 3.4911
_cell_length_b 3.4911
_cell_length_c 36.6025
_cell_angle_alpha 90.00
_cell_angle_beta 90.00
_cell_angle_gamma 120.00
loop_
_atom_site_label
_atom_site_fract_x
_atom_site_fract_y
_atom_site_fract_z
_atom_site_occupancy
Sr1 0.0000 0.0000 0.0000 1
Er1 0.0000 0.0000 0.0964 1
Zr1 0.0000 0.0000 0.5000 1
```

---

Record 2
## Er4Ta (PBE)

Data for a geometry-optimized Er4Ta structure.

Results
**Total magnetic moment**: 0.000 μB/atom
**Formation energy**: 600.6 meV per atom

```
data_Er4Ta
_chemical_formula_sum 'Er4 Ta1'
_symmetry_space_group_name_H-M 'P m -3 m'
_symmetry_Int_Tables_number 221
_symmetry_space_group_name_Hall '-P 4 2 3'
_cell_length_a 5.459
_cell_length_b 5.459
_cell_length_c 5.459
_cell_angle_alpha 90.00
_cell_angle_beta 90.00
_cell_angle_gamma 90.00
loop_
_atom_site_label
_atom_site_fract_x
_atom_site_fract_y
_atom_site_fract_z
_atom_site_occupancy
Er1 0.000 0.000 0.000 1
Er2 0.000 0.500 0.500 1
Ta1 0.500 0.500 0.500 1
```

---

Record 3
## TbErTa (PBE)

Data for a geometry-optimized TbErTa structure.

Results
**Total magnetic moment**: 0.000 μB/atom
**Formation energy**: 355.8 meV per atom

```
data_TbErTa
_chemical_formula_sum 'Tb2 Er2 Ta2'
_symmetry_space_group_name_H-M 'P 4/n m m'
_symmetry_Int_Tables_number 129
_cell_length_a 4.499
_cell_length_b 4.499
_cell_length_c 7.987
_cell_angle_alpha 90.00
_cell_angle_beta 90.00
_cell_angle_gamma 90.00
loop_
_symmetry_equiv_pos_as_xyz
'x,y,z'
'-x,-y,-z'
'-y+1/2,x,z'
'y+1/2,-x,-z'
'-x+1/2,-y+1/2,z'
'x+1/2,y+1/2,-z'
'y,-x+1/2,z'
'-y,x+1/2,-z'
'x+1/2,-y,-z'
'-x+1/2,y,z'
'-y,-x,-z'
'y,x,z'
'-x,y+1/2,-z'
'x,-y+1/2,z'
'y+1/2,x+1/2,-z'
'-y+1/2,-x+1/2,z'
loop_
_atom_site_label
_atom_site_fract_x
_atom_site_fract_y
_atom_site_fract_z
_atom_site_occupancy
Tb1 0.250 0.250 0.218 1
Er1 0.250 0.250 0.773 1
Ta1 0.250 0.750 0.500 1
```

---

Record 4
## Tb2ErTa (PBE)

Data for a geometry-optimized Tb2ErTa structure.

Results
**Total magnetic moment**: 0.000 μB/atom
**Formation energy**: 596.6 meV per atom

```
data_Tb2ErTa
_chemical_formula_sum 'Tb6 Er3 Ta3'
_symmetry_space_group_name_H-M 'R -3 m'
_symmetry_Int_Tables_number 166
_symmetry_space_group_name_Hall '-R 3 2"'
_cell_length_a 3.2721
_cell_length_b 3.2721
_cell_length_c 34.9028
_cell_angle_alpha 90.00
_cell_angle_beta 90.00
_cell_angle_gamma 120.00
loop_
_atom_site_label
_atom_site_fract_x
_atom_site_fract_y
_atom_site_fract_z
_atom_site_occupancy
Tb1 0.0000 0.0000 0.0840 1
Er1 0.0000 0.0000 0.5000 1
Ta1 0.0000 0.0000 0.0000 1
```

---

Record 5
## TbEr2Ta (PBE)

Data for a geometry-optimized TbEr2Ta structure.

Results
**Total magnetic moment**: 0.000 μB/atom
**Formation energy**: 586.3 meV per atom

```
data_TbEr2Ta
_chemical_formula_sum 'Tb3 Er6 Ta3'
_symmetry_space_group_name_H-M 'R -3 m'
_symmetry_Int_Tables_number 166
_symmetry_space_group_name_Hall '-R 3 2"'
_cell_length_a 3.2545
_cell_length_b 3.2545
_cell_length_c 34.9014
_cell_angle_alpha 90.00
_cell_angle_beta 90.00
_cell_angle_gamma 120.00
loop_
_atom_site_label
_atom_site_fract_x
_atom_site_fract_y
_atom_site_fract_z
_atom_site_occupancy
Tb1 0.0000 0.0000 0.0000 1
Er1 0.0000 0.0000 0.4162 1
Ta1 0.0000 0.0000 0.5000 1
```

---

Record 6
## ErTaTc2 (PBE)

Data for a geometry-optimized ErTaTc2 structure.

Results
**Total magnetic moment**: 0.000 μB/atom
**Formation energy**: -196.1 meV per atom

```
data_ErTaTc2
_chemical_formula_sum 'Er1 Ta1 Tc2'
_symmetry_space_group_name_H-M 'P 4/m m m'
_symmetry_Int_Tables_number 123
_symmetry_space_group_name_Hall '-P 4 2'
_cell_length_a 3.257
_cell_length_b 3.257
_cell_length_c 6.726
_cell_angle_alpha 90.00
_cell_angle_beta 90.00
_cell_angle_gamma 90.00
loop_
_atom_site_label
_atom_site_fract_x
_atom_site_fract_y
_atom_site_fract_z
_atom_site_occupancy
Er1 0.000 0.000 0.000 1
Ta1 0.000 0.000 0.500 1
Tc1 0.500 0.500 0.277 1
```